A relaxed YPuNpO6 crystal, computed with PBE.

a b c (Å): 5.762 5.762 9.401
angles (deg): 90.00 90.00 120.00
Atoms (fractional coordinates):
Y: 0.333 0.667 0.250
Y: 0.667 0.333 0.750
Pu: 0.000 0.000 0.000
Pu: 0.000 0.000 0.500
Np: 0.333 0.667 0.750
Np: 0.667 0.333 0.250
O: 0.022 0.350 0.632
O: 0.022 0.672 0.868
O: 0.328 0.350 0.868
O: 0.328 0.978 0.632
O: 0.350 0.022 0.132
O: 0.350 0.328 0.368
O: 0.650 0.672 0.632
O: 0.650 0.978 0.868
O: 0.672 0.022 0.368
O: 0.672 0.650 0.132
O: 0.978 0.328 0.132
O: 0.978 0.650 0.368

Uncorrected formation energy: -3.06 eV per atom
DOS at the Fermi energy: 1.06 states/eV/atom


A relaxed RbNpO4 crystal, computed with PBE.

a b c (Å): 3.630 3.630 6.758
angles (deg): 90.00 90.00 90.00
Atoms (fractional coordinates):
Rb: 0.000 0.000 0.000
Np: 0.500 0.500 0.500
O: 0.000 0.500 0.325
O: 0.000 0.500 0.675
O: 0.500 0.000 0.325
O: 0.500 0.000 0.675

Polymorph energy (0 for the lowest one): 322.0 meV/atom
Uncorrected formation energy: -2.15 eV per atom
DOS at the Fermi energy: 0.27 states/eV/atom


A relaxed Rb2NpO4 crystal, computed with PBE.

a b c (Å): 6.800 11.313 3.548
angles (deg): 90.00 90.00 90.00
Atoms (fractional coordinates):
Rb: 0.053 0.176 0.000
Rb: 0.447 0.676 0.000
Rb: 0.553 0.324 0.000
Rb: 0.947 0.824 0.000
Np: 0.000 0.500 0.500
Np: 0.500 0.000 0.500
O: 0.119 0.653 0.500
O: 0.177 0.452 0.000
O: 0.323 0.952 0.000
O: 0.381 0.153 0.500
O: 0.619 0.847 0.500
O: 0.677 0.048 0.000
O: 0.823 0.548 0.000
O: 0.881 0.347 0.500

Uncorrected formation energy: -2.42 eV per atom
DOS at the Fermi energy: 0.28 states/eV/atom